Below is crystalline Ce2CuPd3 at its relaxed geometry, with properties calculated at the PBE level.

Geometry as extended XYZ:
```
12
Lattice="5.5671 0.0000 0.0000 -2.7835 4.8212 0.0000 0.0000 0.0000 8.4844" Properties=species:S:1:pos:R:3 pbc="T T T"
Ce 2.7835 1.6071 3.6973
Ce 0.0000 3.2142 4.7871
Ce 0.0000 3.2142 7.9394
Ce 2.7835 1.6071 0.5449
Cu 0.0000 0.0000 4.2422
Cu 0.0000 0.0000 0.0000
Pd 0.0000 1.6076 2.1211
Pd 1.3922 0.8038 6.3633
Pd 2.7835 3.2137 6.3633
Pd -1.3913 4.0174 2.1211
Pd 4.1749 0.8038 6.3633
Pd 1.3913 4.0174 2.1211
```

DOS(E_F), states/eV/atom: 2.000
Crystal system: hexagonal
Calculated formation energy, eV/f.u.: -3.54
E, eV per cell: -70.17

***

Below is crystalline CeCuPd at its relaxed geometry, with properties calculated at the PBE level.

Geometry as extended XYZ:
```
6
Lattice="-2.8296 -1.3574 -3.7171 3.2819 -0.5803 0.9398 -2.6326 -7.3109 4.6728" Properties=species:S:1:pos:R:3 pbc="T T T"
Cu 0.7653 -1.0978 -0.1603
Cu -2.9456 -8.1507 2.0558
Ce -0.1102 -3.5317 1.3947
Ce -2.0700 -5.7168 0.5008
Pd -1.1169 -6.3199 3.1787
Pd -1.0633 -2.9286 -1.2832
```

Energy above the lowest structure with this stoichiometry, eV/atom: 0.2149
DOS(E_F), states/eV/atom: 1.174
Crystal system: orthorhombic
Calculated formation energy, eV/f.u.: -0.72
E, eV per cell: -31.88

***

Below is crystalline Ce2CuPd at its relaxed geometry, with properties calculated at the PBE level.

Geometry as extended XYZ:
```
4
Lattice="3.0254 0.0000 0.0000 1.5127 2.6201 0.0000 1.5127 0.8734 10.3161" Properties=species:S:1:pos:R:3 pbc="T T T"
Cu 3.0254 1.7467 5.1581
Pd 0.0000 0.0000 0.0000
Ce 1.5127 0.8734 7.6217
Ce 4.5381 2.6201 2.6944
```

DOS(E_F), states/eV/atom: 1.943
Crystal system: trigonal
Calculated formation energy, eV/f.u.: 0.19
E, eV per cell: -20.96

***

Below is crystalline Ce2CuPd at its relaxed geometry, with properties calculated at the PBE level.

Geometry as extended XYZ:
```
4
Lattice="3.6139 0.0000 0.0000 0.0000 3.6139 0.0000 0.0000 0.0000 6.8251" Properties=species:S:1:pos:R:3 pbc="T T T"
Cu 1.8070 1.8070 0.0000
Pd 1.8070 1.8070 3.4125
Ce 0.0000 0.0000 5.1601
Ce 0.0000 0.0000 1.6650
```

DOS(E_F), states/eV/atom: 2.813
Crystal system: tetragonal
Calculated formation energy, eV/f.u.: -1.26
E, eV per cell: -22.42

***

Below is crystalline CeCuPd4 at its relaxed geometry, with properties calculated at the PBE level.

Geometry as extended XYZ:
```
6
Lattice="-2.8768 -2.3086 3.8321 2.3996 -2.9673 3.7050 0.3404 1.7607 5.0075" Properties=species:S:1:pos:R:3 pbc="T T T"
Cu 0.0000 0.0000 0.0000
Pd -0.2565 -3.0830 5.3326
Pd -1.2905 -0.7089 5.9866
Pd -0.0855 -2.1989 7.8471
Pd 1.3590 -1.0397 5.9228
Ce -0.0342 -0.8788 3.1362
```

DOS(E_F), states/eV/atom: 0.795
Crystal system: cubic
Calculated formation energy, eV/f.u.: -2.67
E, eV per cell: -33.47

***

Below is crystalline CeCu2Pd4 at its relaxed geometry, with properties calculated at the PBE level.

Geometry as extended XYZ:
```
7
Lattice="4.6776 0.0128 2.5172 2.1905 4.6693 1.5583 0.1500 -0.3331 5.3755" Properties=species:S:1:pos:R:3 pbc="T T T"
Pd 4.7399 2.4232 8.0684
Pd 2.2781 1.9258 1.3825
Pd 5.5798 4.4821 6.4974
Pd 1.4384 -0.1330 2.9536
Cu 4.6777 2.1789 5.3559
Cu 2.3403 2.1701 4.0950
Ce 0.0000 0.0000 0.0000
```

DOS(E_F), states/eV/atom: 0.975
Crystal system: monoclinic
Calculated formation energy, eV/f.u.: -3.04
E, eV per cell: -37.94

***

Below is crystalline CeCu4Pd at its relaxed geometry, with properties calculated at the PBE level.

Geometry as extended XYZ:
```
6
Lattice="5.0424 0.0000 0.0000 2.5212 4.3668 0.0000 2.5212 1.4556 4.1171" Properties=species:S:1:pos:R:3 pbc="T T T"
Cu 5.0424 2.9112 0.4991
Cu 5.0424 1.4410 2.5783
Cu 6.3156 3.6463 2.5783
Cu 3.7691 3.6463 2.5783
Pd 0.0000 0.0000 0.0000
Ce 2.5212 1.4556 1.0293
```

DOS(E_F), states/eV/atom: 1.142
Crystal system: cubic
Calculated formation energy, eV/f.u.: -1.71
E, eV per cell: -29.22

***

Below is crystalline CeCuPd at its relaxed geometry, with properties calculated at the PBE level.

Geometry as extended XYZ:
```
3
Lattice="-2.3341 2.5280 -0.6780 -2.2588 -1.4866 2.2329 4.0747 2.0656 2.7434" Properties=species:S:1:pos:R:3 pbc="T T T"
Ce -0.6917 2.8545 3.9546
Pd -1.8207 1.2125 1.7193
Cu 0.9426 1.3709 1.8663
```

Energy above the lowest structure with this stoichiometry, eV/atom: 0.1171
DOS(E_F), states/eV/atom: 1.586
Crystal system: tetragonal
Calculated formation energy, eV/f.u.: -1.01
E, eV per cell: -16.24